(1)
{"formula": "YTiSi2Bi", "functional": "GGA-PBE", "state": "optimized geometry", "vol_a3_per_atom": 25.3, "dos_ef_per_ev_cell": 3.61, "e_form_raw_ev_per_atom": 0.371, "magmom_total_mub_per_fu": 0.00, "spacegroup": "No. 123", "lattice": [[-1.0883, -3.2011, -3.4988], [1.9870, -3.9472, 2.9933], [-4.3827, -0.6922, 1.9966]], "species": ["Si", "Si", "Bi", "Y", "Ti"], "frac_coords": [[0.5000, 0.0000, 0.0000], [0.0000, 0.0000, 0.5000], [0.5000, 0.5000, 0.5000], [0.0000, 0.5000, 0.0000], [0.0000, 0.0000, 0.0000]]}

(2)
{"formula": "TiZnSi2Bi", "functional": "GGA-PBE", "state": "optimized geometry", "vol_a3_per_atom": 21.4, "dos_ef_per_ev_cell": 5.73, "e_form_raw_ev_per_atom": 0.704, "magmom_total_mub_per_fu": 0.96, "spacegroup": "No. 123", "lattice": [[-0.9000, 1.9082, -4.1012], [3.7707, -2.6358, -2.0538], [-2.9234, -3.4363, -0.9573]], "species": ["Bi", "Si", "Si", "Ti", "Zn"], "frac_coords": [[0.5000, 0.5000, 0.5000], [0.0000, 0.0000, 0.5000], [0.5000, 0.0000, 0.0000], [0.0000, 0.5000, 0.0000], [0.0000, 0.0000, 0.0000]]}

(3)
{"formula": "TlSi2Bi2", "functional": "GGA-PBE", "state": "optimized geometry", "vol_a3_per_atom": 27.3, "e_above_lowest_polymorph_mev_per_atom": 0, "dos_ef_per_ev_cell": 2.78, "e_form_raw_ev_per_atom": 0.315, "magmom_total_mub_per_fu": 0.00, "spacegroup": "No. 139", "lattice": [[5.4748, 0.0000, 0.0000], [0.0000, 5.4748, 0.0000], [2.7374, 2.7374, 4.5590]], "species": ["Bi", "Bi", "Tl", "Si", "Si"], "frac_coords": [[0.2500, 0.7500, 0.5000], [0.7500, 0.2500, 0.5000], [0.0000, 0.0000, 0.0000], [0.6330, 0.6330, 0.7341], [0.3670, 0.3670, 0.2659]]}

(4)
{"formula": "TlSi2Bi2", "functional": "GGA-PBE", "state": "optimized geometry", "vol_a3_per_atom": 29.4, "e_above_lowest_polymorph_mev_per_atom": 83, "dos_ef_per_ev_cell": 2.61, "e_form_raw_ev_per_atom": 0.398, "magmom_total_mub_per_fu": 0.00, "spacegroup": "No. 139", "lattice": [[-0.4370, -1.8165, 4.0573], [4.1519, 1.2901, 1.0248], [-0.7646, 6.1271, 5.1196]], "species": ["Tl", "Bi", "Bi", "Si", "Si"], "frac_coords": [[0.0000, 0.0000, 0.0000], [0.6264, 0.6264, 0.7473], [0.3736, 0.3736, 0.2527], [0.7500, 0.2500, 0.5000], [0.2500, 0.7500, 0.5000]]}

(5)
{"formula": "TlSi3Bi", "functional": "GGA-PBE", "state": "optimized geometry", "vol_a3_per_atom": 28.2, "e_above_lowest_polymorph_mev_per_atom": 0, "dos_ef_per_ev_cell": 3.72, "e_form_raw_ev_per_atom": 1.299, "magmom_total_mub_per_fu": 0.00, "spacegroup": "No. 221", "lattice": [[-5.0987, -0.9139, -0.5117], [0.0032, -2.5561, 4.5343], [-1.0474, 4.4412, 2.5044]], "species": ["Tl", "Si", "Si", "Si", "Bi"], "frac_coords": [[0.0000, 0.0000, 0.0000], [0.0000, 0.5000, 0.0000], [0.5000, 0.0000, 0.0000], [0.0000, 0.0000, 0.5000], [0.5000, 0.5000, 0.5000]]}

(6)
{"formula": "TlSi2Bi2", "functional": "GGA-PBE", "state": "optimized geometry", "vol_a3_per_atom": 26.3, "e_above_lowest_polymorph_mev_per_atom": 57, "dos_ef_per_ev_cell": 4.72, "e_form_raw_ev_per_atom": 0.372, "magmom_total_mub_per_fu": 0.00, "spacegroup": "No. 127", "lattice": [[8.2846, 0.0000, 0.0000], [0.0000, 8.2846, 0.0000], [0.0000, 0.0000, 3.8309]], "species": ["Si", "Si", "Si", "Si", "Tl", "Tl", "Bi", "Bi", "Bi", "Bi"], "frac_coords": [[0.1056, 0.3944, 0.0000], [0.6056, 0.1056, 0.0000], [0.3944, 0.8944, 0.0000], [0.8944, 0.6056, 0.0000], [0.5000, 0.5000, 0.0000], [0.0000, 0.0000, 0.0000], [0.3290, 0.1710, 0.5000], [0.6710, 0.8290, 0.5000], [0.1710, 0.6710, 0.5000], [0.8290, 0.3290, 0.5000]]}

(7)
{"formula": "TlSiBi3", "functional": "GGA-PBE", "state": "optimized geometry", "vol_a3_per_atom": 33.6, "e_above_lowest_polymorph_mev_per_atom": 0, "dos_ef_per_ev_cell": 3.04, "e_form_raw_ev_per_atom": 0.445, "magmom_total_mub_per_fu": 0.00, "spacegroup": "No. 221", "lattice": [[-5.1473, 0.9070, 1.7722], [-1.0087, -5.4238, -0.1539], [1.7164, -0.4674, 5.2244]], "species": ["Bi", "Bi", "Bi", "Tl", "Si"], "frac_coords": [[0.0000, 0.5000, 0.0000], [0.0000, 0.0000, 0.5000], [0.5000, 0.0000, 0.0000], [0.5000, 0.5000, 0.5000], [0.0000, 0.0000, 0.0000]]}

(8)
{"formula": "TlSiBi3", "functional": "GGA-PBE", "state": "optimized geometry", "vol_a3_per_atom": 38.8, "e_above_lowest_polymorph_mev_per_atom": 743, "dos_ef_per_ev_cell": 5.30, "e_form_raw_ev_per_atom": 1.188, "magmom_total_mub_per_fu": 0.00, "spacegroup": "No. 221", "lattice": [[5.7871, 0.0000, 0.0000], [0.0000, 5.7871, 0.0000], [0.0000, 0.0000, 5.7871]], "species": ["Tl", "Bi", "Bi", "Bi", "Si"], "frac_coords": [[0.0000, 0.0000, 0.0000], [0.0000, 0.0000, 0.5000], [0.5000, 0.0000, 0.0000], [0.0000, 0.5000, 0.0000], [0.5000, 0.5000, 0.5000]]}